Record 1
The following is a PBE calculation of an optimized crystal structure of SnPb3Au, from the Alexandria database.

Output
excess energy over the best structure of this formula in the dataset: 0 meV per atom
size of the total moment: 0.00 μB per formula unit
symmetry: No. 12
DOS(E_F): 2.6 states/eV/cell
volume: 287 Å³ per cell
DFT formation energy: -0.020 eV per atom

a b c (Å): 4.5650 6.3116 11.1546
angles (deg): 105.35 90.00 111.20
Fractional coordinates of all 10 atoms:
Pb (0.0448, 0.0895, 0.8709)
Pb (0.8665, 0.7330, 0.5457)
Pb (0.1335, 0.2670, 0.4543)
Pb (0.6855, 0.3710, 0.2152)
Pb (0.9552, 0.9105, 0.1291)
Pb (0.3145, 0.6290, 0.7848)
Au (0.7264, 0.4527, 0.9161)
Au (0.2736, 0.5473, 0.0839)
Sn (0.5950, 0.1900, 0.6577)
Sn (0.4050, 0.8100, 0.3423)


Record 2
The following is a PBE calculation of an optimized crystal structure of Na2TmUS6, from the Alexandria database.

Output
size of the total moment: 0.00 μB per formula unit
symmetry: No. 14
DOS(E_F): 19.7 states/eV/cell
volume: 491 Å³ per cell
raw formation energy: -1220 meV/atom

a b c (Å): 6.8896 7.2967 9.7752
angles (deg): 90.00 88.57 90.00
Fractional coordinates of all 20 atoms:
S (0.3762, 0.9661, 0.7443)
S (0.7878, 0.7984, 0.5607)
S (0.1944, 0.2146, 0.0655)
S (0.6944, 0.2854, 0.5655)
S (0.8762, 0.5339, 0.2443)
S (0.2878, 0.7016, 0.0607)
S (0.2122, 0.2016, 0.4393)
S (0.6238, 0.0339, 0.2557)
S (0.1238, 0.4661, 0.7557)
S (0.3056, 0.7146, 0.4345)
S (0.8056, 0.7854, 0.9345)
S (0.7122, 0.2984, 0.9393)
Na (0.9734, 0.0713, 0.7444)
Na (0.4734, 0.4287, 0.2444)
Na (0.5266, 0.5713, 0.7556)
Na (0.0266, 0.9287, 0.2556)
U (0.5000, 0.0000, 0.5000)
U (0.0000, 0.5000, 0.0000)
Tm (0.5000, 0.0000, 0.0000)
Tm (0.0000, 0.5000, 0.5000)


Record 3
The following is a PBE calculation of an optimized crystal structure of BeCd4In, from the Alexandria database.

Output
size of the total moment: 0.00 μB per formula unit
symmetry: No. 216
DOS(E_F): 1.4 states/eV/cell
volume: 137 Å³ per cell
DFT formation energy: 0.432 eV per atom

a b c (Å): 5.7917 5.7917 5.7917
angles (deg): 60.00 60.00 60.00
Fractional coordinates of all 6 atoms:
Cd (0.3745, 0.8765, 0.3745)
Cd (0.3745, 0.3745, 0.8765)
Cd (0.8765, 0.3745, 0.3745)
Cd (0.3745, 0.3745, 0.3745)
In (0.7500, 0.7500, 0.7500)
Be (0.0000, 0.0000, 0.0000)


Record 4
The following is a PBE calculation of an optimized crystal structure of Pm2Tm5Mg, from the Alexandria database.

Output
size of the total moment: 0.00 μB per formula unit
symmetry: No. 139
DOS(E_F): 10.0 states/eV/cell
volume: 242 Å³ per cell
DFT formation energy: 0.024 eV per atom

a b c (Å): 6.9542 6.9543 7.0197
angles (deg): 119.70 119.70 89.99
Fractional coordinates of all 8 atoms:
Tm (0.2222, 0.2222, 0.9443)
Tm (0.2222, 0.7222, 0.9443)
Tm (0.7221, 0.7221, 0.4443)
Tm (0.7222, 0.2222, 0.9443)
Tm (0.7222, 0.7222, 0.9443)
Mg (0.2218, 0.2218, 0.4438)
Pm (0.2222, 0.7222, 0.4443)
Pm (0.7222, 0.2222, 0.4443)


Record 5
The following is a PBE calculation of an optimized crystal structure of CdTc4P, from the Alexandria database.

Output
size of the total moment: 0.00 μB per formula unit
symmetry: No. 216
DOS(E_F): 5.3 states/eV/cell
volume: 99 Å³ per cell
DFT formation energy: 0.634 eV per atom

a b c (Å): 5.1908 5.1908 5.1908
angles (deg): 60.00 60.00 60.00
Fractional coordinates of all 6 atoms:
Cd (0.7500, 0.7500, 0.7500)
Tc (0.3741, 0.3741, 0.8778)
Tc (0.3741, 0.8778, 0.3741)
Tc (0.8778, 0.3741, 0.3741)
Tc (0.3741, 0.3741, 0.3741)
P (0.0000, 0.0000, 0.0000)


Record 6
The following is a PBE calculation of an optimized crystal structure of CuRePb2, from the Alexandria database.

Output
excess energy over the best structure of this formula in the dataset: 583 meV per atom
size of the total moment: 1.98 μB per formula unit
symmetry: No. 122
DOS(E_F): 2.8 states/eV/cell
volume: 177 Å³ per cell
DFT formation energy: 1.177 eV per atom

a b c (Å): 7.6205 7.6205 6.1938
angles (deg): 52.04 52.04 90.00
Last column: magnetic moment on the atom in μB.
Fractional coordinates of all 8 atoms:
Pb (0.3750, 0.3892, 0.7500)  -0.01
Pb (0.8750, 0.8608, 0.7500)  0.00
Pb (0.6108, 0.1250, 0.2500)  0.00
Pb (0.1392, 0.6250, 0.2500)  0.00
Cu (0.2500, 0.7500, 0.5000)  0.03
Cu (0.5000, 0.5000, 0.0000)  0.03
Re (0.7500, 0.2500, 0.5000)  1.71
Re (0.0000, 0.0000, 0.0000)  1.70